1.
# ScPtSe2, relaxed, DFT PBE
# Excess energy over the best structure of this formula in the dataset: 103 meV per atom
# Formation energy without anion corrections: -0.895 eV/atom
# Magnetic moment: 0.000 μB per atom
data_ScPtSe2
_symmetry_space_group_name_H-M 'R 3 m'
_symmetry_Int_Tables_number 160
_symmetry_space_group_name_Hall 'R 3 -2"'
_cell_length_a 4.0256
_cell_length_b 4.0256
_cell_length_c 20.8408
_cell_angle_alpha 90.00
_cell_angle_beta 90.00
_cell_angle_gamma 120.00
loop_
_atom_site_label
_atom_site_type_symbol
_atom_site_fract_x
_atom_site_fract_y
_atom_site_fract_z
Sc1 Sc 0.0000 0.0000 0.0000
Pt1 Pt 0.0000 0.0000 0.7557
Se1 Se 0.0000 0.0000 0.2706
Se2 Se 0.0000 0.0000 0.4536

=====

2.
# Pr2TlSb, relaxed, DFT PBE
# Excess energy over the best structure of this formula in the dataset: 79 meV per atom
# Formation energy without anion corrections: -0.691 eV/atom
# Magnetic moment: 0.000 μB per atom
data_Pr2TlSb
_symmetry_space_group_name_H-M 'P 4/m m m'
_symmetry_Int_Tables_number 123
_symmetry_space_group_name_Hall '-P 4 2'
_cell_length_a 4.1151
_cell_length_b 4.1151
_cell_length_c 7.1139
_cell_angle_alpha 90.00
_cell_angle_beta 90.00
_cell_angle_gamma 90.00
loop_
_atom_site_label
_atom_site_type_symbol
_atom_site_fract_x
_atom_site_fract_y
_atom_site_fract_z
Pr1 Pr 0.0000 0.0000 0.2391
Tl1 Tl 0.5000 0.5000 0.5000
Sb1 Sb 0.5000 0.5000 0.0000

=====

3.
# AcNd2Te, relaxed, DFT PBE
# Excess energy over the best structure of this formula in the dataset: 24 meV per atom
# Formation energy without anion corrections: -0.605 eV/atom
# Magnetic moment: 0.000 μB per atom
data_AcNd2Te
_symmetry_space_group_name_H-M 'R -3 m'
_symmetry_Int_Tables_number 166
_symmetry_space_group_name_Hall '-R 3 2"'
_cell_length_a 4.0660
_cell_length_b 4.0660
_cell_length_c 30.9805
_cell_angle_alpha 90.00
_cell_angle_beta 90.00
_cell_angle_gamma 120.00
loop_
_atom_site_label
_atom_site_type_symbol
_atom_site_fract_x
_atom_site_fract_y
_atom_site_fract_z
Ac1 Ac 0.0000 0.0000 0.0000
Nd1 Nd 0.0000 0.0000 0.2349
Te1 Te 0.0000 0.0000 0.5000

=====

4.
# Cd2CuPb, relaxed, DFT PBE
# Magnetic moment: 0.000 μB per atom
# Energy relative to the elements: 14.3 kJ per mole of atoms
data_Cd2CuPb
_symmetry_space_group_name_H-M 'P 1 m 1'
_symmetry_Int_Tables_number 6
_symmetry_space_group_name_Hall 'P -2y'
_cell_length_a 3.6878
_cell_length_b 4.3510
_cell_length_c 5.9173
_cell_angle_alpha 90.00
_cell_angle_beta 107.40
_cell_angle_gamma 90.00
loop_
_atom_site_label
_atom_site_type_symbol
_atom_site_fract_x
_atom_site_fract_y
_atom_site_fract_z
Cd1 Cd 0.0000 0.0000 0.0000
Cd2 Cd 0.4054 0.5000 0.8170
Cu1 Cu 0.1602 0.5000 0.2986
Pb1 Pb 0.7235 0.0000 0.4539

=====

5.
# RbNpPb2Br8, relaxed, DFT PBE
# Formation energy without anion corrections: -1.174 eV/atom
# Magnetic moment: 0.333 μB per atom
data_RbNpPb2Br8
_symmetry_space_group_name_H-M 'P 1 2/m 1'
_symmetry_Int_Tables_number 10
_symmetry_space_group_name_Hall '-P 2y'
_cell_length_a 7.0329
_cell_length_b 9.3831
_cell_length_c 7.2656
_cell_angle_alpha 90.00
_cell_angle_beta 90.89
_cell_angle_gamma 90.00
loop_
_atom_site_label
_atom_site_type_symbol
_atom_site_fract_x
_atom_site_fract_y
_atom_site_fract_z
Rb1 Rb 0.0000 0.0000 0.0000
Np1 Np 0.0000 0.5000 0.0000
Pb1 Pb 0.5000 0.2485 0.5000
Br1 Br 0.2437 0.5000 0.6756
Br2 Br 0.2488 0.2846 0.1538
Br3 Br 0.2681 0.0000 0.6200

=====

6.
# BeS2F, relaxed, DFT PBE
# Excess energy over the best structure of this formula in the dataset: 448 meV per atom
# Formation energy without anion corrections: 0.149 eV/atom
# Magnetic moment: 0.000 μB per atom
data_BeS2F
_symmetry_space_group_name_H-M 'F m -3 m'
_symmetry_Int_Tables_number 225
_symmetry_space_group_name_Hall '-F 4 2 3'
_cell_length_a 5.7698
_cell_length_b 5.7698
_cell_length_c 5.7698
_cell_angle_alpha 90.00
_cell_angle_beta 90.00
_cell_angle_gamma 90.00
loop_
_atom_site_label
_atom_site_type_symbol
_atom_site_fract_x
_atom_site_fract_y
_atom_site_fract_z
Be1 Be 0.0000 0.0000 0.0000
S1 S 0.2500 0.2500 0.2500
F1 F 0.0000 0.0000 0.5000